1.
Compound: Ca2YAg
Source: the Alexandria database
Functional: GGA-PBE
Structure: optimized geometry

```
Ca2YAg
1.0
6.7889 0.0069 -0.0047
3.4554 5.8437 0.0047
-4.5118 -3.9941 3.1274
Y Ca Ag
1 2 1
Direct
0.2500 0.7500 0.5000
0.9536 0.9536 0.0000
0.5464 0.5464 0.0000
0.7500 0.2500 0.5000
```

Results
Magnetization = 0.0000 μB per atom
Total energy = -13.510 eV/cell

---

2.
Compound: NaScIrO6
Source: the Alexandria database
Functional: GGA-PBE
Structure: optimized geometry

```
NaScIrO6
1.0
5.3354 0.0000 0.0000
-2.6677 4.6206 0.0000
0.0000 0.0000 10.0741
Na Sc Ir O
2 2 2 12
Direct
0.0000 0.0000 0.0000
0.0000 0.0000 0.5000
0.3333 0.6667 0.2500
0.6667 0.3333 0.7500
0.6667 0.3333 0.2500
0.3333 0.6667 0.7500
0.6448 0.6154 0.1440
0.9706 0.3552 0.1440
0.3552 0.9706 0.6440
0.0294 0.6448 0.8560
0.3846 0.3552 0.3560
0.9706 0.6154 0.3560
0.6154 0.9706 0.8560
0.6448 0.0294 0.3560
0.0294 0.3846 0.6440
0.3846 0.0294 0.1440
0.6154 0.6448 0.6440
0.3552 0.3846 0.8560
```

Results
Magnetization = 0.0682 μB per atom
Total energy = -118.111 eV/cell

---

3.
Compound: LiLa3Ga3
Source: the Alexandria database
Functional: GGA-PBE
Structure: optimized geometry

```
LiLa3Ga3
1.0
4.6558 0.0000 0.7013
2.3313 5.4832 0.3278
0.2195 -0.5364 14.3470
Li La Ga
2 6 6
Direct
0.7546 0.0868 0.4040
0.2454 0.9132 0.5960
0.5447 0.2911 0.6194
0.4553 0.7089 0.3806
0.2517 0.2688 0.2278
0.7483 0.7312 0.7722
0.3922 0.2854 0.9303
0.6078 0.7146 0.0697
0.8740 0.7067 0.5454
0.1260 0.2933 0.4546
0.1058 0.8680 0.9204
0.8942 0.1320 0.0796
0.9639 0.8466 0.2256
0.0361 0.1534 0.7744
```

Results
Magnetization = 0.0000 μB per atom
Total energy = -58.483 eV/cell

---

4.
Compound: La3PrPb2
Source: the Alexandria database
Functional: GGA-PBE
Structure: optimized geometry

```
La3PrPb2
1.0
-3.5943 -2.8016 -2.2284
5.7005 -1.7522 -6.9918
1.7968 -4.5834 8.6522
La Pr Pb
6 2 4
Direct
0.5000 0.2500 0.0000
0.5000 0.7500 0.0000
0.8174 0.0678 0.6355
0.1826 0.4322 0.3645
0.1826 0.9322 0.3645
0.8174 0.5678 0.6355
0.0000 0.5000 0.0000
0.0000 0.0000 0.0000
0.3520 0.3521 0.7043
0.6480 0.1479 0.2957
0.3520 0.8521 0.7043
0.6480 0.6479 0.2957
```

Results
Magnetization = 0.0001 μB per atom
Total energy = -59.419 eV/cell

---

- What is the formula in the second record?
  NaScIrO6

---

What did the third record say?
Compound: LiLa3Ga3
Source: the Alexandria database
Functional: GGA-PBE
Structure: optimized geometry

```
LiLa3Ga3
1.0
4.6558 0.0000 0.7013
2.3313 5.4832 0.3278
0.2195 -0.5364 14.3470
Li La Ga
2 6 6
Direct
0.7546 0.0868 0.4040
0.2454 0.9132 0.5960
0.5447 0.2911 0.6194
0.4553 0.7089 0.3806
0.2517 0.2688 0.2278
0.7483 0.7312 0.7722
0.3922 0.2854 0.9303
0.6078 0.7146 0.0697
0.8740 0.7067 0.5454
0.1260 0.2933 0.4546
0.1058 0.8680 0.9204
0.8942 0.1320 0.0796
0.9639 0.8466 0.2256
0.0361 0.1534 0.7744
```

Results
Magnetization = 0.0000 μB per atom
Total energy = -58.483 eV/cell

---

- The highest total energy belongs to which entry?
  Ca2YAg